Version one
Material: DyThPd4
Method: DFT, GGA-PBE
State: relaxed

Unit cell a=5.4962 b=5.4962 c=5.4962 alpha=60.00 beta=60.00 gamma=60.00
Positions (direct):
Th: 0.0000 0.0000 0.0000
Pd: 0.1259 0.6247 0.6247
Pd: 0.6247 0.6247 0.1259
Pd: 0.6247 0.1259 0.6247
Pd: 0.6247 0.6247 0.6247
Dy: 0.2500 0.2500 0.2500

***

Version two
Material: DyThPd4
Method: DFT, GGA-PBE
State: relaxed

Unit cell a=4.2134 b=5.8276 c=10.2426 alpha=90.00 beta=101.87 gamma=90.00
Positions (direct):
Th: 0.5801 0.7500 0.1602
Th: 0.4199 0.2500 0.8398
Pd: 0.1481 0.0120 0.2963
Pd: 0.8519 0.5120 0.7037
Pd: 0.0000 0.0000 0.0000
Pd: 0.0000 0.5000 0.0000
Pd: 0.4273 0.7500 0.8547
Pd: 0.1481 0.4880 0.2963
Pd: 0.5727 0.2500 0.1453
Pd: 0.8519 0.9880 0.7037
Dy: 0.2753 0.7500 0.5505
Dy: 0.7247 0.2500 0.4495

***

Least stable structure: version one

***

Version one
Material: Dy4Tl3Pd
Method: DFT, GGA-PBE
State: relaxed

Unit cell a=3.8383 b=4.8335 c=11.5861 alpha=90.00 beta=90.00 gamma=90.00
Positions (direct):
Tl: 0.0000 0.5000 0.5903
Tl: 0.0000 0.0000 0.4103
Tl: 0.5000 0.0000 0.9161
Dy: 0.5000 0.5000 0.3310
Dy: 0.0000 0.5000 0.8804
Dy: 0.0000 0.0000 0.1390
Dy: 0.5000 0.0000 0.6502
Pd: 0.5000 0.5000 0.0827

***

Version two
Material: Dy4Tl3Pd
Method: DFT, GGA-PBE
State: relaxed

Unit cell a=3.6120 b=3.6120 c=15.8530 alpha=90.00 beta=90.00 gamma=90.00
Positions (direct):
Tl: 0.5000 0.5000 0.5000
Tl: 0.5000 0.5000 0.7609
Tl: 0.5000 0.5000 0.2391
Dy: 0.0000 0.0000 0.8942
Dy: 0.0000 0.0000 0.1058
Dy: 0.0000 0.0000 0.3683
Dy: 0.0000 0.0000 0.6317
Pd: 0.5000 0.5000 0.0000

***

Least stable structure: version one

***

Version one
Material: Dy4TlPd
Method: DFT, GGA-PBE
State: relaxed

Unit cell a=9.7433 b=9.7433 c=9.7433 alpha=60.00 beta=60.00 gamma=60.00
Positions (direct):
Dy: 0.1871 0.1871 0.8129
Dy: 0.3970 0.8091 0.3970
Dy: 0.8129 0.1871 0.8129
Dy: 0.1871 0.8129 0.1871
Dy: 0.9379 0.5621 0.9379
Dy: 0.9379 0.5621 0.5621
Dy: 0.5621 0.9379 0.5621
Dy: 0.8129 0.8129 0.1871
Dy: 0.3970 0.3970 0.3970
Dy: 0.5621 0.9379 0.9379
Dy: 0.5621 0.5621 0.9379
Dy: 0.3970 0.3970 0.8091
Dy: 0.8091 0.3970 0.3970
Dy: 0.9379 0.9379 0.5621
Dy: 0.1871 0.8129 0.8129
Dy: 0.8129 0.1871 0.1871
Pd: 0.6054 0.1838 0.6054
Pd: 0.6054 0.6054 0.6054
Pd: 0.1838 0.6054 0.6054
Pd: 0.6054 0.6054 0.1838
Tl: 0.1637 0.1637 0.1637
Tl: 0.5088 0.1637 0.1637
Tl: 0.1637 0.5088 0.1637
Tl: 0.1637 0.1637 0.5088

***

Version two
Material: Dy4TlPd
Method: DFT, GGA-PBE
State: relaxed

Unit cell a=6.2123 b=9.1598 c=7.7884 alpha=115.41 beta=99.47 gamma=113.49
Positions (direct):
Dy: 0.7666 0.7170 0.6532
Dy: 0.3866 0.9363 0.6532
Dy: 0.6134 0.0637 0.3468
Dy: 0.2334 0.2830 0.3468
Dy: 0.8983 0.7957 0.1703
Dy: 0.1017 0.2043 0.8297
Dy: 0.2280 0.6254 0.8297
Dy: 0.7720 0.3746 0.1703
Pd: 0.7486 0.9986 0.9972
Pd: 0.2514 0.0014 0.0028
Tl: 0.3714 0.6214 0.2427
Tl: 0.6286 0.3786 0.7573

***

Least stable structure: version two

***

Version one
Material: Dy3Tm2Pd2
Method: DFT, GGA-PBE
State: relaxed

Unit cell a=3.6908 b=10.1172 c=6.5452 alpha=54.87 beta=73.64 gamma=89.99
Positions (direct):
Dy: 0.1542 0.7073 0.6911
Dy: 0.0000 0.0000 0.0000
Dy: 0.8458 0.2927 0.3089
Tm: 0.3884 0.6257 0.2235
Tm: 0.6116 0.3743 0.7765
Pd: 0.6410 0.9260 0.7181
Pd: 0.3590 0.0740 0.2819

***

Version two
Material: Dy3Tm2Pd2
Method: DFT, GGA-PBE
State: relaxed

Unit cell a=3.6887 b=6.4200 c=9.0236 alpha=115.15 beta=90.00 gamma=106.70
Positions (direct):
Dy: 0.6127 0.2254 0.4395
Dy: 0.3873 0.7746 0.5605
Dy: 0.5000 0.0000 0.0000
Pd: 0.1737 0.3475 0.2337
Pd: 0.8263 0.6525 0.7663
Tm: 0.8408 0.6817 0.1858
Tm: 0.1592 0.3183 0.8142

***

Least stable structure: version one

***

Version one
Material: DyTm3Pd
Method: DFT, GGA-PBE
State: relaxed

Unit cell a=7.0917 b=7.0917 c=7.4479 alpha=104.09 beta=115.05 gamma=107.44
Positions (direct):
Dy: 0.7031 0.0745 0.7776
Dy: 0.2969 0.9255 0.2224
Tm: 0.8355 0.0101 0.2439
Tm: 0.7280 0.4593 0.1874
Tm: 0.1645 0.9899 0.7561
Tm: 0.7663 0.5917 0.7561
Tm: 0.2337 0.4083 0.2439
Tm: 0.2720 0.5407 0.8126
Pd: 0.6499 0.7666 0.4165
Pd: 0.3501 0.2334 0.5835

***

Version two
Material: DyTm3Pd
Method: DFT, GGA-PBE
State: relaxed

Unit cell a=5.1724 b=6.2324 c=8.9168 alpha=95.66 beta=106.86 gamma=90.00
Positions (direct):
Tm: 0.0379 0.7708 0.0759
Tm: 0.2063 0.5629 0.4126
Tm: 0.6821 0.9012 0.3642
Tm: 0.3179 0.0988 0.6358
Tm: 0.7937 0.4371 0.5874
Tm: 0.9621 0.2292 0.9241
Dy: 0.4102 0.6340 0.8205
Dy: 0.5898 0.3660 0.1795
Pd: 0.1449 0.1336 0.2899
Pd: 0.8551 0.8664 0.7101

***

Least stable structure: version one

***

Version one
Material: DyTmPd4
Method: DFT, GGA-PBE
State: relaxed

Unit cell a=5.4284 b=5.4284 c=5.4284 alpha=60.00 beta=60.00 gamma=60.00
Positions (direct):
Pd: 0.6249 0.1254 0.6249
Pd: 0.6249 0.6249 0.6249
Pd: 0.6249 0.6249 0.1254
Pd: 0.1254 0.6249 0.6249
Dy: 0.0000 0.0000 0.0000
Tm: 0.2500 0.2500 0.2500

***

Version two
Material: DyTmPd4
Method: DFT, GGA-PBE
State: relaxed

Unit cell a=3.6230 b=5.1774 c=7.1369 alpha=102.85 beta=75.30 gamma=69.52
Positions (direct):
Pd: 0.6715 0.9941 0.6630
Pd: 0.3285 0.0059 0.3370
Pd: 0.8379 0.4952 0.8290
Pd: 0.1621 0.5048 0.1710
Dy: 0.0000 0.0000 0.0000
Tm: 0.5000 0.5000 0.5000

***

Least stable structure: version two

***

Version one
Material: Dy3TmPd
Method: DFT, GGA-PBE
State: relaxed

Unit cell a=3.6851 b=6.3562 c=12.5534 alpha=87.08 beta=81.56 gamma=73.15
Positions (direct):
Dy: 0.7576 0.7305 0.7544
Dy: 0.9914 0.1007 0.9166
Dy: 0.7830 0.0447 0.3894
Dy: 0.4302 0.6233 0.5163
Dy: 0.1043 0.1664 0.6251
Dy: 0.4561 0.9335 0.1543
Pd: 0.7706 0.3287 0.1302
Pd: 0.4382 0.3432 0.7804
Tm: 0.1083 0.5027 0.2806
Tm: 0.2213 0.5632 0.9942

***

Version two
Material: Dy3TmPd
Method: DFT, GGA-PBE
State: relaxed

Unit cell a=7.1173 b=7.1173 c=7.5176 alpha=104.01 beta=115.15 gamma=107.18
Positions (direct):
Dy: 0.8313 0.0070 0.2370
Dy: 0.2729 0.5403 0.8133
Dy: 0.2300 0.4057 0.2370
Dy: 0.7271 0.4597 0.1867
Dy: 0.7700 0.5943 0.7630
Dy: 0.1687 0.9930 0.7630
Pd: 0.6469 0.7709 0.4179
Pd: 0.3531 0.2291 0.5821
Tm: 0.3016 0.9277 0.2293
Tm: 0.6984 0.0723 0.7707

***

Least stable structure: version two

***

Version one
Material: DyTm2Pd3
Method: DFT, GGA-PBE
State: relaxed

Unit cell a=3.4116 b=4.9581 c=14.8847 alpha=90.00 beta=90.00 gamma=90.00
Positions (direct):
Pd: 0.5005 0.5000 0.0000
Pd: 0.5006 0.0000 0.1697
Pd: 0.4994 0.5000 0.3303
Pd: 0.5006 0.0000 0.8303
Pd: 0.4995 0.0000 0.5000
Pd: 0.4994 0.5000 0.6697
Tm: 0.9998 0.0000 0.6668
Tm: 0.0002 0.5000 0.8332
Tm: 0.0002 0.5000 0.1668
Tm: 0.9998 0.0000 0.3332
Dy: 0.0010 0.0000 0.0000
Dy: 0.9990 0.5000 0.5000

***

Version two
Material: DyTm2Pd3
Method: DFT, GGA-PBE
State: relaxed

Unit cell a=3.4785 b=3.4785 c=10.4264 alpha=90.00 beta=90.00 gamma=90.00
Positions (direct):
Tm: 0.5000 0.5000 0.8350
Tm: 0.5000 0.5000 0.1650
Dy: 0.5000 0.5000 0.5000
Pd: 0.0000 0.0000 0.0000
Pd: 0.0000 0.0000 0.3282
Pd: 0.0000 0.0000 0.6718

***

Least stable structure: version two

***

Version one
Material: DyY3Pd
Method: DFT, GGA-PBE
State: relaxed

Unit cell a=7.2162 b=7.2162 c=7.5219 alpha=104.97 beta=114.69 gamma=107.17
Positions (direct):
Y: 0.2310 0.4110 0.2458
Y: 0.7690 0.5890 0.7542
Y: 0.2731 0.5397 0.8127
Y: 0.8348 0.0148 0.2458
Y: 0.1652 0.9852 0.7542
Y: 0.7269 0.4603 0.1873
Pd: 0.3563 0.2313 0.5877
Pd: 0.6437 0.7687 0.4123
Dy: 0.7017 0.0715 0.7732
Dy: 0.2983 0.9285 0.2268

***

Version two
Material: DyY3Pd
Method: DFT, GGA-PBE
State: relaxed

Unit cell a=3.7342 b=6.3946 c=12.6594 alpha=86.99 beta=81.52 gamma=73.02
Positions (direct):
Pd: 0.4383 0.3438 0.7797
Pd: 0.7704 0.3288 0.1304
Y: 0.4562 0.9342 0.1534
Y: 0.1034 0.1665 0.6268
Y: 0.7820 0.0467 0.3893
Y: 0.4298 0.6237 0.5167
Y: 0.9918 0.1011 0.9154
Y: 0.7584 0.7287 0.7545
Dy: 0.1086 0.5013 0.2815
Dy: 0.2220 0.5621 0.9939

***

Least stable structure: version one

***

Version one
Material: DyY2Pd
Method: DFT, GGA-PBE
State: relaxed

Unit cell a=3.7359 b=3.7359 c=9.8000 alpha=79.01 beta=79.01 gamma=60.00
Last column: magnetic moment on the atom in μB.
Positions (direct):
Dy: 0.5009 0.5009 0.4973  0.17
Y: 0.2673 0.2673 0.1980  0.03
Y: 0.0655 0.0655 0.8035  0.01
Pd: 0.6663 0.6663 0.0012  0.00

***

Version two
Material: DyY2Pd
Method: DFT, GGA-PBE
State: relaxed

Unit cell a=3.5866 b=3.5866 c=8.4414 alpha=90.00 beta=90.00 gamma=90.00
Positions (direct):
Y: 0.0000 0.0000 0.1996
Y: 0.0000 0.0000 0.8004
Pd: 0.5000 0.5000 0.0000
Dy: 0.5000 0.5000 0.5000

***

Version three
Material: DyY2Pd
Method: DFT, GGA-PBE
State: relaxed

Unit cell a=3.7515 b=6.4434 c=9.4819 alpha=90.00 beta=90.00 gamma=106.95
Positions (direct):
Dy: 0.0676 0.1348 0.7500
Dy: 0.9324 0.8652 0.2500
Y: 0.3652 0.7313 0.5620
Y: 0.3652 0.7313 0.9380
Y: 0.6348 0.2687 0.0620
Y: 0.6348 0.2687 0.4380
Pd: 0.2423 0.4839 0.2500
Pd: 0.7577 0.5161 0.7500

***

Least stable structure: version one

***

Version one
Material: DyY2Pd
Method: DFT, GGA-PBE
State: relaxed

Unit cell a=6.5064 b=7.0332 c=9.7283 alpha=90.00 beta=90.00 gamma=90.00
Positions (direct):
Y: 0.6773 0.8193 0.9404
Y: 0.1773 0.6807 0.0596
Y: 0.8227 0.3193 0.5596
Y: 0.3227 0.1807 0.4404
Y: 0.6773 0.8193 0.5596
Y: 0.1773 0.6807 0.4404
Y: 0.8227 0.3193 0.9404
Y: 0.3227 0.1807 0.0596
Pd: 0.5519 0.1108 0.7500
Pd: 0.9481 0.6108 0.7500
Pd: 0.0519 0.3892 0.2500
Pd: 0.4481 0.8892 0.2500
Dy: 0.1327 0.9759 0.7500
Dy: 0.8673 0.0241 0.2500
Dy: 0.6327 0.5241 0.2500
Dy: 0.3673 0.4759 0.7500

***

Version two
Material: DyY2Pd
Method: DFT, GGA-PBE
State: relaxed

Unit cell a=3.6606 b=3.6606 c=10.0363 alpha=79.49 beta=79.49 gamma=60.00
Positions (direct):
Dy: 0.5000 0.5000 0.5000
Y: 0.7333 0.7333 0.8002
Y: 0.2667 0.2667 0.1998
Pd: 0.0000 0.0000 0.0000

***

Least stable structure: version two